Material: LiCr2C4O12
Method: DFT, GGA+U
State: relaxed

a b c (Å): 5.256 6.928 7.627
angles (deg): 87.19 83.68 69.68
Atoms (fractional coordinates):
Li: 0.000 0.000 0.000
Cr: 0.122 0.291 0.390
Cr: 0.636 0.786 0.886
C: 0.393 0.963 0.641
C: 0.422 0.141 0.128
C: 0.840 0.438 0.646
C: 0.867 0.627 0.138
O: 0.090 0.437 0.613
O: 0.174 0.136 0.151
O: 0.262 0.929 0.787
O: 0.270 0.032 0.500
O: 0.484 0.238 0.249
O: 0.599 0.056 0.999
O: 0.614 0.657 0.129
O: 0.653 0.911 0.639
O: 0.676 0.521 0.778
O: 0.771 0.340 0.526
O: 0.991 0.550 0.276
O: 0.994 0.691 0.003

Summary:
space-group type	P1, No. 1
V	13.62	A^3/atom
raw total energy	-141.0	eV per cell
crystal system	triclinic